The following is a GGA+U calculation of a geometry-optimized Ce2CrSe2O2 structure, from Alexandria via LeMat-Bulk.

```
data_Ce2CrSe2O2
_chemical_formula_sum 'Ce4 Cr2 Se4 O4'
_symmetry_space_group_name_H-M 'C 1 2/m 1'
_symmetry_Int_Tables_number 12
_cell_length_a 11.458
_cell_length_b 3.921
_cell_length_c 7.142
_cell_angle_alpha 90.00
_cell_angle_beta 121.80
_cell_angle_gamma 90.00
loop_
_symmetry_equiv_pos_as_xyz
'x,y,z'
'-x,-y,-z'
'-x,y,-z'
'x,-y,z'
'x+1/2,y+1/2,z'
'-x+1/2,-y+1/2,-z'
'-x+1/2,y+1/2,-z'
'x+1/2,-y+1/2,z'
loop_
_atom_site_label
_atom_site_type_symbol
_atom_site_fract_x
_atom_site_fract_y
_atom_site_fract_z
Ce1 Ce 0.189 0.000 0.242
Cr1 Cr 0.000 0.000 0.500
Se1 Se 0.061 0.500 0.823
O1 O 0.200 0.000 0.584
```

Computed properties:
Its volume is 19.5 Å³ per atom. Its total energy is -104.056 eV/cell.